(1)
Compound: Sc6SnSe5
Source: Alexandria
Functional: PBE
Structure: relaxed

Output
E_form (uncorrected) ... -137.47 kJ/mol of atoms

Unit cell a=6.810 b=6.795 c=6.788 alpha=59.97 beta=80.43 gamma=70.60
Element x y z (fractional)
Se (0.500, 0.836, 0.328)
Se (0.500, 0.164, 0.672)
Se (0.000, 0.668, 0.665)
Se (0.000, 0.332, 0.335)
Se (0.500, 0.500, 0.000)
Sc (0.256, 0.575, 0.340)
Sc (0.748, 0.743, 0.000)
Sc (0.252, 0.257, 0.000)
Sc (0.744, 0.085, 0.340)
Sc (0.744, 0.425, 0.660)
Sc (0.256, 0.915, 0.660)
Sn (0.000, 0.000, 0.000)

---

(2)
Compound: Ti3Al3TcNi2
Source: Alexandria
Functional: PBE
Structure: relaxed

Output
VASP energy ... -60.35 eV per cell

Unit cell a=2.987 b=7.219 c=7.219 alpha=120.00 beta=90.00 gamma=90.00
Element x y z (fractional)
Ni (0.500, 0.333, 0.667)
Ni (0.500, 0.667, 0.333)
Ti (0.500, 0.000, 0.715)
Ti (0.500, 0.715, 0.000)
Ti (0.500, 0.285, 0.285)
Al (0.000, 0.621, 0.621)
Al (0.000, 0.000, 0.379)
Al (0.000, 0.379, 0.000)
Tc (0.000, 0.000, 0.000)

---

(3)
Compound: Cs3Hg8Pt2
Source: Alexandria
Functional: PBE
Structure: relaxed

Output
VASP energy ... -18.72 eV per cell

Unit cell a=7.734 b=7.734 c=10.942 alpha=69.30 beta=69.30 gamma=60.00
Element x y z (fractional)
Hg (0.747, 0.146, 0.360)
Hg (0.253, 0.253, 0.640)
Hg (0.253, 0.854, 0.640)
Hg (0.364, 0.364, 0.908)
Hg (0.747, 0.747, 0.360)
Hg (0.146, 0.747, 0.360)
Hg (0.636, 0.636, 0.092)
Hg (0.854, 0.253, 0.640)
Cs (0.236, 0.236, 0.292)
Cs (0.764, 0.764, 0.708)
Cs (0.000, 0.000, 0.000)
Pt (0.545, 0.545, 0.365)
Pt (0.455, 0.455, 0.635)

---

(4)
Compound: Co2AsPb
Source: Alexandria
Functional: PBE
Structure: relaxed

Output
VASP energy ... -22.11 eV per cell

Unit cell a=3.831 b=3.831 c=5.860 alpha=70.01 beta=70.01 gamma=59.91
Element x y z (fractional)
Co (0.961, 0.961, 0.122)
Co (0.539, 0.539, 0.378)
As (0.250, 0.250, 0.250)
Pb (0.750, 0.750, 0.750)

---

Number 1: density of states at the Fermi level 0.563 states/eV/atom. Number 2: density of states at the Fermi level 1.046 states/eV/atom. Number 3: density of states at the Fermi level 0.294 states/eV/atom. Number 4: density of states at the Fermi level 1.122 states/eV/atom.